Sm4ZrIn5 | PBE-GGA | relaxed

Geometry as POSCAR:
```
Sm4ZrIn5
1.0
3.836 0.000 0.000
0.000 3.836 0.000
0.000 0.000 18.287
Sm Zr In
4 1 5
direct
0.000 0.000 0.104
0.000 0.000 0.312
0.000 0.000 0.688
0.000 0.000 0.896
0.000 0.000 0.500
0.500 0.500 0.000
0.500 0.500 0.208
0.500 0.500 0.415
0.500 0.500 0.585
0.500 0.500 0.792
```

N(E_F)   5.63 states/eV/f.u.
Formation enthalpy at 0 K   -0.419 eV per atom



PaTi2Tl3O9 | PBE-GGA | relaxed

Geometry as POSCAR:
```
PaTi2Tl3O9
1.0
5.791 0.000 0.000
-2.895 5.015 0.000
0.000 0.000 7.151
Pa Ti Tl O
1 2 3 9
direct
0.000 0.000 0.000
0.333 0.667 0.648
0.667 0.333 0.352
0.000 0.000 0.500
0.333 0.667 0.178
0.667 0.333 0.822
0.000 0.500 0.500
0.175 0.350 0.820
0.175 0.825 0.820
0.350 0.175 0.180
0.500 0.000 0.500
0.500 0.500 0.500
0.650 0.825 0.820
0.825 0.175 0.180
0.825 0.650 0.180
```

N(E_F)   7.02 states/eV/f.u.
E_form (uncorrected)   -2.17 eV/atom



ReRu2W | PBE-GGA | relaxed

Geometry as POSCAR:
```
ReRu2W
1.0
6.218 0.000 0.000
0.000 6.218 0.000
0.000 0.000 6.218
Re Ru W
4 8 4
direct
0.000 0.000 0.000
0.000 0.500 0.500
0.500 0.000 0.500
0.500 0.500 0.000
0.000 0.000 0.500
0.000 0.500 0.000
0.250 0.250 0.750
0.250 0.750 0.250
0.500 0.000 0.000
0.500 0.500 0.500
0.750 0.250 0.250
0.750 0.750 0.750
0.250 0.250 0.250
0.250 0.750 0.750
0.750 0.250 0.750
0.750 0.750 0.250
```

Offset from the most stable computed form   322 meV/atom
N(E_F)   5.46 states/eV/f.u.
Formation enthalpy at 0 K   0.335 eV per atom



CdCoOs2 | PBE-GGA | relaxed

Geometry as POSCAR:
```
CdCoOs2
1.0
2.708 0.000 0.000
0.000 2.708 0.000
0.000 0.000 7.995
Cd Co Os
1 1 2
direct
0.000 0.000 0.000
0.000 0.000 0.500
0.500 0.500 0.286
0.500 0.500 0.714
```

N(E_F)   4.69 states/eV/f.u.
Formation enthalpy at 0 K   0.522 eV per atom



Ca4Te2PBr | PBE-GGA | relaxed

Geometry as POSCAR:
```
Ca4Te2PBr
1.0
7.564 0.000 0.000
0.000 4.387 0.000
-2.429 0.000 7.176
Ca Te P Br
4 2 1 1
direct
0.226 0.000 0.223
0.241 0.500 0.774
0.759 0.500 0.226
0.774 0.000 0.777
0.500 0.000 0.000
0.500 0.500 0.500
0.000 0.500 0.000
0.000 0.000 0.500
```

E_form (uncorrected)   -1.55 eV/atom



ZnPbCl2 | PBE-GGA | relaxed

Geometry as POSCAR:
```
ZnPbCl2
1.0
7.300 0.000 0.000
0.000 7.300 0.000
0.000 0.000 7.300
Zn Pb Cl
4 4 8
direct
0.000 0.000 0.000
0.000 0.500 0.500
0.500 0.000 0.500
0.500 0.500 0.000
0.250 0.250 0.750
0.250 0.750 0.250
0.750 0.250 0.250
0.750 0.750 0.750
0.000 0.000 0.500
0.000 0.500 0.000
0.250 0.250 0.250
0.250 0.750 0.750
0.500 0.000 0.000
0.500 0.500 0.500
0.750 0.250 0.750
0.750 0.750 0.250
```

Offset from the most stable computed form   341 meV/atom
E_form (uncorrected)   -0.33 eV/atom



TbTcBr | PBE-GGA | relaxed

Geometry as POSCAR:
```
TbTcBr
1.0
2.036 1.175 11.790
-2.036 1.175 11.790
0.000 -2.351 11.790
Tb Tc Br
2 2 2
direct
0.062 0.062 0.062
0.938 0.938 0.938
0.339 0.339 0.339
0.661 0.661 0.661
0.219 0.219 0.219
0.781 0.781 0.781
```

N(E_F)   1.97 states/eV/f.u.
E_form (uncorrected)   -0.91 eV/atom



AlSbBr2 | PBE-GGA | relaxed

Geometry as POSCAR:
```
AlSbBr2
1.0
3.300 0.000 0.000
0.000 3.300 0.000
0.000 0.000 10.680
Al Sb Br
1 1 2
direct
0.000 0.000 0.000
0.000 0.000 0.500
0.500 0.500 0.156
0.500 0.500 0.844
```

Offset from the most stable computed form   353 meV/atom
N(E_F)   2.06 states/eV/f.u.
E_form (uncorrected)   0.02 eV/atom